# 1
GGA-PBE Pr2Cd2InRh5, relaxed; DFT formation energy = -302 meV/atom; DFT total energy = -0.1981 Ha/atom; DOS at the Fermi energy = 11.20 states/eV/cell; total moment = 0.000 μB per atom
1.0
3.7840 0.0000 0.0000
0.0000 10.2317 0.0000
0.0000 0.0000 10.2317
In Pr Rh Cd
2 4 10 4
Cartesian
0.0000 5.1158 5.1158 In
0.0000 0.0000 0.0000 In
0.0000 8.5097 6.8378 Pr
0.0000 3.3939 8.5097 Pr
0.0000 6.8378 1.7220 Pr
0.0000 1.7220 3.3939 Pr
1.8920 9.8594 2.0457 Rh
1.8920 2.0457 0.3722 Rh
1.8920 8.1860 9.8594 Rh
1.8920 0.0000 5.1158 Rh
1.8920 5.4881 7.1615 Rh
1.8920 3.0702 5.4881 Rh
1.8920 7.1615 4.7436 Rh
1.8920 4.7436 3.0702 Rh
1.8920 0.3722 8.1860 Rh
1.8920 5.1158 0.0000 Rh
0.0000 6.4616 8.8859 Cd
0.0000 8.8859 3.7700 Cd
0.0000 3.7700 1.3458 Cd
0.0000 1.3458 6.4616 Cd

***

# 2
GGA-PBE SrThIn2Br8, relaxed; DFT total energy = -0.1391 Ha/atom; formation energy from raw total energies = -1.46 eV/atom; DOS at the Fermi energy = 0.00 states/eV/cell; total moment = 0.000 μB per atom
1.0
-4.3400 2.3068 5.7657
3.8719 -4.5484 4.2442
5.9757 6.7614 1.7932
Br In Sr Th
8 2 1 1
Cartesian
-1.5226 2.5528 6.3668 Br
6.0927 4.7274 9.0690 Br
3.8194 -1.6659 4.4724 Br
7.0302 1.9670 5.4364 Br
-0.5851 -0.2076 2.7341 Br
2.5608 2.9700 3.8668 Br
2.9468 1.5498 7.9364 Br
1.6882 6.1857 7.3308 Br
4.1937 3.8900 6.3335 In
1.3139 0.6298 5.4696 In
2.9878 3.3807 0.8966 Sr
0.0000 0.0000 0.0000 Th

***

- Among the records above, which one has the lowest DFT total energy?
  Pr2Cd2InRh5